A plane-wave DFT calculation with PBE was carried out for an optimized crystal structure of La8PRh3Br3.

Its raw total energy is -5.873 eV per atom. The calculation puts the mass density at 5961 kg/m3.

The structure belongs to space group C2/m (No. 12); the cell edges are 14.7555, 8.5119 and 8.9635 Å and the angles 90.00°, 123.21° and 90.00°. The asymmetric unit holds La at (0.0166, 0.2433, 0.2935), La at (0.2353, 0.0000, 0.7053), La at (0.2398, 0.5000, 0.7062), P at (0.0000, 0.5000, 0.5000), Rh at (0.0000, 0.0000, 0.5000), Rh at (0.2500, 0.2500, 0.5000), Br at (0.0000, 0.5000, 0.0000) and Br at (0.2500, 0.2500, 0.0000).